1.
Here is an optimized crystal structure of ReAgN3 from the Alexandria database. Energies are from PBE-GGA.

Geometry as POSCAR:
```
ReAgN3
1.0
3.976 0.000 0.000
0.000 3.976 0.000
0.000 0.000 3.976
Re Ag N
1 1 3
Cartesian
1.988 1.988 1.988 Re
0.000 0.000 0.000 Ag
0.000 1.988 0.000 N
0.000 0.000 1.988 N
1.988 0.000 0.000 N
```

Output
E_form (uncorrected) in eV/atom: 2.894
Symmetry: Pm-3m

=====

2.
Here is an optimized crystal structure of Re2AgSN from the Alexandria database. Energies are from PBE-GGA.

Geometry as POSCAR:
```
Re2AgSN
1.0
4.581 0.000 0.000
0.000 3.444 0.000
0.000 0.000 4.581
Re S Ag N
2 1 1 1
Cartesian
0.000 0.000 2.290 Re
2.290 0.000 0.000 Re
0.000 0.000 0.000 S
2.290 1.722 2.290 Ag
0.000 1.722 0.000 N
```

Output
E_form (uncorrected) in eV/atom: 1.688
Symmetry: P4/mmm
Energy above the most stable polymorph in this dataset in meV/atom: 674

=====

3.
Here is an optimized crystal structure of Re2AgSN from the Alexandria database. Energies are from PBE-GGA.

Geometry as POSCAR:
```
Re2AgSN
1.0
-0.696 0.051 3.826
5.380 -0.401 0.985
0.289 3.878 0.001
Re S Ag N
2 1 1 1
Cartesian
0.145 1.939 0.000 Re
-0.348 0.026 1.913 Re
2.690 -0.201 0.492 S
2.486 1.764 2.406 Ag
0.000 0.000 0.000 N
```

Output
E_form (uncorrected) in eV/atom: 1.014
Symmetry: P4/mmm
Energy above the most stable polymorph in this dataset in meV/atom: 0

=====

4.
Here is an optimized crystal structure of ReAg2SN from the Alexandria database. Energies are from PBE-GGA.

Geometry as POSCAR:
```
ReAg2SN
1.0
-0.322 -3.398 3.101
3.221 1.265 1.721
-2.527 2.728 2.726
Re S Ag N
1 1 2 1
Cartesian
1.611 0.632 0.860 Re
0.186 0.297 3.774 S
-1.264 1.364 1.363 Ag
-0.161 -1.699 1.550 Ag
0.000 0.000 0.000 N
```

Output
E_form (uncorrected) in eV/atom: 0.802
Symmetry: P4/mmm

=====

5.
Here is an optimized crystal structure of ReAgSeN2 from the Alexandria database. Energies are from PBE-GGA.

Geometry as POSCAR:
```
ReAgSeN2
1.0
-2.966 0.632 -2.478
-2.216 -2.529 2.007
-2.265 5.185 4.033
Re Se Ag N
1 1 1 2
Cartesian
-3.723 1.644 1.781 Re
-1.133 2.593 2.016 Se
0.000 0.000 0.000 Ag
-1.108 -1.264 1.004 N
-1.483 0.316 -1.239 N
```

Output
E_form (uncorrected) in eV/atom: 2.482
Symmetry: P4/mmm
Energy above the most stable polymorph in this dataset in meV/atom: 2052

=====

6.
Here is an optimized crystal structure of ReAgSe2N from the Alexandria database. Energies are from PBE-GGA.

Geometry as POSCAR:
```
ReAgSe2N
1.0
5.079 0.000 0.000
0.000 5.079 0.000
0.000 0.000 3.740
Re Se Ag N
1 2 1 1
Cartesian
0.000 0.000 0.000 Re
0.000 2.539 0.000 Se
2.539 0.000 0.000 Se
2.539 2.539 1.870 Ag
0.000 0.000 1.870 N
```

Output
E_form (uncorrected) in eV/atom: 0.365
Symmetry: P4/mmm
Energy above the most stable polymorph in this dataset in meV/atom: 0